Entry 1:
! Ac2CdPd6Pb3 | the Alexandria database | PBE-GGA | relaxed; values from VASP
&SYSTEM
  ibrav = 0, nat = 12, ntyp = 4
/
ATOMIC_SPECIES
Ac 227.00 Ac.upf
Cd 112.41 Cd.upf
Pd 106.42 Pd.upf
Pb 207.20 Pb.upf
ATOMIC_POSITIONS crystal
Ac 0.500 0.500 0.190
Ac 0.500 0.500 0.810
Cd 0.500 0.500 0.500
Pd 0.000 0.500 0.598
Pd 0.500 0.000 0.402
Pd 0.500 0.000 0.598
Pd 0.000 0.000 0.150
Pd 0.000 0.500 0.402
Pd 0.000 0.000 0.850
Pb 0.000 0.000 0.307
Pb 0.000 0.000 0.693
Pb 0.000 0.000 0.000
CELL_PARAMETERS angstrom
-1.752 3.686 -1.204
-3.478 -2.078 -1.299
-7.102 1.863 16.035
! Volume (Å³ per cell): 319
! Size of the total moment (μB/cell): 0.0
! DOS(E_F) (states/eV per atom): 0.69
! VASP energy (eV/atom): -4.58
! ρ (Mg/m³): 9.5
! ΔE_f (eV per formula unit): -3.5

***

Entry 2:
! AcCdPd3Pb | the Alexandria database | PBE-GGA | relaxed; values from VASP
&SYSTEM
  ibrav = 0, nat = 12, ntyp = 4
/
ATOMIC_SPECIES
Ac 227.00 Ac.upf
Cd 112.41 Cd.upf
Pd 106.42 Pd.upf
Pb 207.20 Pb.upf
ATOMIC_POSITIONS crystal
Ac 0.750 0.339 0.678
Ac 0.250 0.661 0.322
Cd 0.250 0.345 0.691
Cd 0.750 0.655 0.309
Pd 0.250 0.145 0.289
Pd 0.000 0.269 0.000
Pd 0.500 0.731 0.000
Pd 0.500 0.269 0.000
Pd 0.000 0.731 0.000
Pd 0.750 0.855 0.711
Pb 0.250 0.894 0.788
Pb 0.750 0.106 0.212
CELL_PARAMETERS angstrom
-1.082 3.416 5.445
-3.729 -4.367 1.999
7.301 -1.039 2.103
! Volume (Å³ per cell): 279
! Size of the total moment (μB/cell): 0.0
! DOS(E_F) (states/eV per atom): 0.41
! VASP energy (eV/atom): -4.43
! ρ (Mg/m³): 10.3
! ΔE_f (eV per formula unit): -2.3

***

Entry 3:
! Ac3CdPd6Pb2 | the Alexandria database | PBE-GGA | relaxed; values from VASP
&SYSTEM
  ibrav = 0, nat = 12, ntyp = 4
/
ATOMIC_SPECIES
Ac 227.00 Ac.upf
Cd 112.41 Cd.upf
Pd 106.42 Pd.upf
Pb 207.20 Pb.upf
ATOMIC_POSITIONS crystal
Ac 0.333 0.667 0.627
Ac 0.667 0.333 0.373
Ac 0.000 0.000 0.000
Cd 0.000 0.000 0.500
Pd 0.647 0.824 0.282
Pd 0.176 0.353 0.282
Pd 0.176 0.824 0.282
Pd 0.824 0.647 0.718
Pd 0.353 0.176 0.718
Pd 0.824 0.176 0.718
Pb 0.667 0.333 0.980
Pb 0.333 0.667 0.020
CELL_PARAMETERS angstrom
6.065 0.000 0.000
-3.033 5.252 0.000
0.000 0.000 9.172
! Volume (Å³ per cell): 292
! Size of the total moment (μB/cell): 0.0
! DOS(E_F) (states/eV per atom): 0.35
! VASP energy (eV/atom): -4.95
! ρ (Mg/m³): 10.5
! ΔE_f (eV per formula unit): -7.6

***

Entry 4:
! AcCdPd2Pb2 | the Alexandria database | PBE-GGA | relaxed; values from VASP
&SYSTEM
  ibrav = 0, nat = 6, ntyp = 4
/
ATOMIC_SPECIES
Ac 227.00 Ac.upf
Cd 112.41 Cd.upf
Pd 106.42 Pd.upf
Pb 207.20 Pb.upf
ATOMIC_POSITIONS crystal
Ac 0.500 0.500 0.000
Cd 0.000 0.000 0.000
Pd 0.765 0.765 0.529
Pd 0.235 0.235 0.471
Pb 0.250 0.750 0.500
Pb 0.750 0.250 0.500
CELL_PARAMETERS angstrom
5.532 0.000 0.000
0.000 5.532 0.000
-2.766 -2.766 5.672
! Volume (Å³ per cell): 174
! Size of the total moment (μB/cell): 0.0
! DOS(E_F) (states/eV per atom): 0.59
! VASP energy (eV/atom): -4.02
! ρ (Mg/m³): 9.2
! ΔE_f (eV per formula unit): -1.3

***

Entry 5:
! Ac3Cd2Pd9Pb | the Alexandria database | PBE-GGA | relaxed; values from VASP
&SYSTEM
  ibrav = 0, nat = 15, ntyp = 4
/
ATOMIC_SPECIES
Ac 227.00 Ac.upf
Cd 112.41 Cd.upf
Pd 106.42 Pd.upf
Pb 207.20 Pb.upf
ATOMIC_POSITIONS crystal
Ac 0.333 0.667 0.746
Ac 0.000 0.000 0.000
Ac 0.667 0.333 0.254
Cd 0.333 0.667 0.188
Cd 0.667 0.333 0.812
Pd 0.869 0.131 0.732
Pd 0.869 0.738 0.732
Pd 0.262 0.131 0.732
Pd 0.738 0.869 0.268
Pd 0.131 0.262 0.268
Pd 0.131 0.869 0.268
Pd 0.500 0.000 0.000
Pd 0.000 0.500 0.000
Pd 0.500 0.500 0.000
Pb 0.000 0.000 0.500
CELL_PARAMETERS angstrom
6.938 0.000 0.000
-3.469 6.008 0.000
0.000 0.000 9.512
! Volume (Å³ per cell): 397
! Size of the total moment (μB/cell): 0.0
! DOS(E_F) (states/eV per atom): 0.65
! VASP energy (eV/atom): -4.64
! ρ (Mg/m³): 8.7
! ΔE_f (eV per formula unit): -5.0

***

Entry 6:
! Ac3CdPd8Pb2 | the Alexandria database | PBE-GGA | relaxed; values from VASP
&SYSTEM
  ibrav = 0, nat = 14, ntyp = 4
/
ATOMIC_SPECIES
Ac 227.00 Ac.upf
Cd 112.41 Cd.upf
Pd 106.42 Pd.upf
Pb 207.20 Pb.upf
ATOMIC_POSITIONS crystal
Ac 0.333 0.667 0.591
Ac 0.667 0.333 0.409
Ac 0.000 0.000 0.000
Cd 0.000 0.000 0.500
Pd 0.333 0.667 0.854
Pd 0.667 0.333 0.146
Pd 0.164 0.836 0.296
Pd 0.836 0.164 0.704
Pd 0.164 0.327 0.296
Pd 0.836 0.673 0.704
Pd 0.673 0.836 0.296
Pd 0.327 0.164 0.704
Pb 0.333 0.667 0.102
Pb 0.667 0.333 0.898
CELL_PARAMETERS angstrom
5.717 0.000 0.000
-2.858 4.951 0.000
0.000 0.000 11.170
! Volume (Å³ per cell): 316
! Size of the total moment (μB/cell): 0.0
! DOS(E_F) (states/eV per atom): 0.50
! VASP energy (eV/atom): -4.99
! ρ (Mg/m³): 10.8
! ΔE_f (eV per formula unit): -7.6

***

Entry 7:
! AcCd2Pd2Pb | the Alexandria database | PBE-GGA | relaxed; values from VASP
&SYSTEM
  ibrav = 0, nat = 6, ntyp = 4
/
ATOMIC_SPECIES
Ac 227.00 Ac.upf
Cd 112.41 Cd.upf
Pd 106.42 Pd.upf
Pb 207.20 Pb.upf
ATOMIC_POSITIONS crystal
Ac 0.500 0.500 0.000
Cd 0.250 0.750 0.500
Cd 0.750 0.250 0.500
Pd 0.758 0.758 0.517
Pd 0.242 0.242 0.483
Pb 0.000 0.000 0.000
CELL_PARAMETERS angstrom
-2.820 3.330 3.131
-3.242 -4.051 1.388
6.411 -0.857 2.080
! Volume (Å³ per cell): 163
! Size of the total moment (μB/cell): 0.0
! DOS(E_F) (states/eV per atom): 0.42
! VASP energy (eV/atom): -3.64
! ρ (Mg/m³): 8.9
! ΔE_f (eV per formula unit): -1.8

***

Entry 8:
! AcPm2Cd2Pb2 | the Alexandria database | PBE-GGA | relaxed; values from VASP
&SYSTEM
  ibrav = 0, nat = 7, ntyp = 4
/
ATOMIC_SPECIES
Ac 227.00 Ac.upf
Pm 145.00 Pm.upf
Cd 112.41 Cd.upf
Pb 207.20 Pb.upf
ATOMIC_POSITIONS crystal
Ac 0.000 0.000 0.000
Pm 0.134 0.134 0.597
Pm 0.866 0.866 0.403
Cd 0.567 0.567 0.300
Cd 0.433 0.433 0.700
Pb 0.735 0.735 0.795
Pb 0.265 0.265 0.205
CELL_PARAMETERS angstrom
5.208 0.000 0.000
2.604 4.510 0.000
2.604 1.503 9.255
! Volume (Å³ per cell): 217
! Size of the total moment (μB/cell): 0.0
! DOS(E_F) (states/eV per atom): 1.08
! VASP energy (eV/atom): -3.52
! ρ (Mg/m³): 8.8
! ΔE_f (eV per formula unit): -1.8

***

Question: What is the formula in the first record?
Answer: Ac2CdPd6Pb3

***

Question: Among the records above, which one has the highest volume?
Answer: Ac3Cd2Pd9Pb

***

Question: ρ of number 1 (Ac2CdPd6Pb3)?
Answer: 9.5 Mg/m³